# 1
The following is a DFT calculation (PBE) of a relaxed YIn4P crystal.

The space group is F-43m (No. 216) and the conventional cell measures 8.4603, 8.4603 and 8.4603 Å, with angles of 90.00, 90.00 and 90.00 degrees. Symmetry generates all atoms from Y at (0.0000, 0.0000, 0.0000), In at (0.1246, 0.1246, 0.6246) and P at (0.2500, 0.2500, 0.2500).

The value obtained for the total energy is -3.670 eV/atom. The energy above the lowest structure with this stoichiometry is 304 meV per atom. As for the energy relative to the elements: 0.8 eV/f.u.

---

# 2
The following is a DFT calculation (PBE) of a relaxed Nd6Hg3Ru crystal.

The space group is R-3c (No. 167, hexagonal axes) and the conventional cell measures 12.4512, 12.4512 and 13.9748 Å, with angles of 90.00, 90.00 and 120.00 degrees. Symmetry generates all atoms from Nd at (0.0411, 0.1956, 0.3825), Hg at (0.0000, 0.4005, 0.2500) and Ru at (0.0000, 0.0000, 0.0000).

The value obtained for the total energy is -4.136 eV/atom. As for the energy relative to the elements: -2.6 eV/f.u.

---

# 3
The following is a DFT calculation (PBE) of a relaxed TlZnIn2 crystal.

The space group is Imm2 (No. 44) and the conventional cell measures 3.7701, 5.2838 and 10.3270 Å, with angles of 90.00, 90.00 and 90.00 degrees. Symmetry generates all atoms from Tl at (0.0000, 0.0000, 0.0000), Zn at (0.0000, 0.5000, 0.7329), In at (0.0000, 0.0000, 0.4496) and In at (0.0000, 0.5000, 0.2212).

The value obtained for the total energy is -2.173 eV/atom. As for the energy relative to the elements: 0.4 eV/f.u.

---

# 4
The following is a DFT calculation (PBE) of a relaxed SmZn2Ag4 crystal.

The space group is I4/mmm (No. 139) and the conventional cell measures 7.0593, 7.0593 and 5.3409 Å, with angles of 90.00, 90.00 and 90.00 degrees. Symmetry generates all atoms from Sm at (0.0000, 0.0000, 0.0000), Zn at (0.0000, 0.5000, 0.2500) and Ag at (0.1964, 0.1964, 0.5000).

The value obtained for the total energy is -2.853 eV/atom. As for the energy relative to the elements: -1.3 eV/f.u.

---

# 5
The following is a DFT calculation (PBE) of a relaxed LiLa2Hg crystal.

The space group is P4mm (No. 99) and the conventional cell measures 3.8378, 3.8378 and 7.8079 Å, with angles of 90.00, 90.00 and 90.00 degrees. Symmetry generates all atoms from Li at (0.0000, 0.0000, 0.0000), La at (0.0000, 0.0000, 0.4182), La at (0.5000, 0.5000, 0.7297) and Hg at (0.5000, 0.5000, 0.1656).

The value obtained for the total energy is -3.212 eV/atom. As for the energy relative to the elements: -0.8 eV/f.u.

---

# 6
The following is a DFT calculation (PBE) of a relaxed BeSnOs2 crystal.

The space group is Fm-3m (No. 225) and the conventional cell measures 6.1429, 6.1429 and 6.1429 Å, with angles of 90.00, 90.00 and 90.00 degrees. Symmetry generates all atoms from Be at (0.0000, 0.0000, 0.0000), Sn at (0.0000, 0.0000, 0.5000) and Os at (0.2500, 0.2500, 0.2500).

The value obtained for the total energy is -7.175 eV/atom. The energy above the lowest structure with this stoichiometry is 0 meV per atom. As for the energy relative to the elements: 1.5 eV/f.u.

---

# 7
The following is a DFT calculation (PBE) of a relaxed BeZn2Hg crystal.

The space group is P4/mmm (No. 123) and the conventional cell measures 2.8608, 2.8608 and 7.8370 Å, with angles of 90.00, 90.00 and 90.00 degrees. Symmetry generates all atoms from Be at (0.0000, 0.0000, 0.0000), Zn at (0.5000, 0.5000, 0.1817) and Hg at (0.0000, 0.0000, 0.5000).

The value obtained for the total energy is -1.428 eV/atom. The energy above the lowest structure with this stoichiometry is 0 meV per atom. As for the energy relative to the elements: 0.9 eV/f.u.

---

# 8
The following is a DFT calculation (PBE) of a relaxed TiGeSe3 crystal.

The space group is Pm-3m (No. 221) and the conventional cell measures 4.9476, 4.9476 and 4.9476 Å, with angles of 90.00, 90.00 and 90.00 degrees. Symmetry generates all atoms from Ti at (0.0000, 0.0000, 0.0000), Ge at (0.5000, 0.5000, 0.5000) and Se at (0.0000, 0.0000, 0.5000).

The value obtained for the total energy is -4.794 eV/atom. The calculation puts the formation energy from raw total energies at -0.2010 eV per atom.

---

What did the fifth record say?
The following is a DFT calculation (PBE) of a relaxed LiLa2Hg crystal.

The space group is P4mm (No. 99) and the conventional cell measures 3.8378, 3.8378 and 7.8079 Å, with angles of 90.00, 90.00 and 90.00 degrees. Symmetry generates all atoms from Li at (0.0000, 0.0000, 0.0000), La at (0.0000, 0.0000, 0.4182), La at (0.5000, 0.5000, 0.7297) and Hg at (0.5000, 0.5000, 0.1656).

The value obtained for the total energy is -3.212 eV/atom. As for the energy relative to the elements: -0.8 eV/f.u.